# 1
Below is a relaxed In2CuI8 crystal, with properties calculated at the PBE level.

Computed properties:
* raw formation energy: -0.3566 eV/atom
* Fermi-level density of states: 2.3 states/eV/f.u.
* space group: C2/m, No. 12
* magnetic moment: 1.0 Bohr magnetons per cell
* DFT total energy: -2.354 eV/atom

abc: 8.8470 8.8470 10.0492
angles: 104.48 104.48 56.97
Positions (direct):
In  0.2207  0.2207  0.3169
In  0.7793  0.7793  0.6831
Cu  0.0000  0.0000  0.0000
I  0.1231  0.6704  0.8544
I  0.2004  0.2004  0.5765
I  0.3296  0.8769  0.1456
I  0.3855  0.3855  0.2816
I  0.6145  0.6145  0.7184
I  0.6704  0.1231  0.8544
I  0.7996  0.7996  0.4235
I  0.8769  0.3296  0.1456

=====

# 2
Below is a relaxed In3CuI4 crystal, with properties calculated at the PBE level.

Computed properties:
* raw formation energy: -0.3348 eV/atom
* Fermi-level density of states: 0.0 states/eV/f.u.
* space group: Pmn2_1, No. 31
* magnetic moment: 0.0 Bohr magnetons per cell
* DFT total energy: -2.649 eV/atom

abc: 9.4278 10.3042 6.9167
angles: 90.00 90.00 90.00
Positions (direct):
In  0.0000  0.0884  0.9997
In  0.1828  0.3494  0.5000
In  0.3172  0.6506  0.0000
In  0.5000  0.9116  0.4997
In  0.6828  0.6506  0.0000
In  0.8172  0.3494  0.5000
Cu  0.0000  0.7914  0.5873
Cu  0.5000  0.2086  0.0873
I  0.0000  0.0387  0.4994
I  0.0000  0.7560  0.9661
I  0.2405  0.6749  0.4796
I  0.2595  0.3251  0.9796
I  0.5000  0.2440  0.4661
I  0.5000  0.9613  0.9994
I  0.7405  0.3251  0.9796
I  0.7595  0.6749  0.4796

=====

# 3
Below is a relaxed InCuI3 crystal, with properties calculated at the PBE level.

Computed properties:
* raw formation energy: -0.1522 eV/atom
* Fermi-level density of states: 2.4 states/eV/f.u.
* space group: Pm-3m, No. 221
* E above lowest polymorph: 140 meV/atom
* magnetic moment: 0.0 Bohr magnetons per cell
* DFT total energy: -2.449 eV/atom

abc: 5.5212 5.5212 5.5212
angles: 90.00 90.00 90.00
Positions (direct):
In  0.0000  0.0000  0.0000
Cu  0.5000  0.5000  0.5000
I  0.0000  0.5000  0.5000
I  0.5000  0.0000  0.5000
I  0.5000  0.5000  0.0000

=====

| no. | volume (Å³ per cell) |
| --- | --- |
| 1 | 632.2 |
| 2 | 671.9 |
| 3 | 168.3 |